Entry 1:
{"formula": "CaTlInRh", "functional": "PBE-GGA", "state": "optimized geometry", "total_energy_ev_per_atom": -3.8646, "space_group": "F-43m", "ef_ev_per_atom": -0.2502, "lattice": [[-1.8503, 3.7768, 2.6084], [-4.8500, 0.2005, 0.9641], [-1.6394, -0.7445, 4.6098]], "species": ["Ca", "In", "Tl", "Rh"], "frac_coords": [[0.7500, 0.7500, 0.7500], [0.5000, 0.5000, 0.5000], [0.0000, 0.0000, 0.0000], [0.2500, 0.2500, 0.2500]]}


Entry 2:
{"formula": "Ba2LaSb3Rh4", "functional": "PBE-GGA", "state": "optimized geometry", "e_form_raw_ev_per_atom": -0.759, "total_energy_ev_per_atom": -5.8131, "space_group": "P-4m2", "lattice": [[4.6987, 0.0000, 0.0000], [0.0000, 4.6987, 0.0000], [0.0000, 0.0000, 11.1353]], "species": ["Sb", "Sb", "Sb", "Rh", "Rh", "Rh", "Rh", "La", "Ba", "Ba"], "frac_coords": [[0.0000, 0.0000, 0.5000], [0.5000, 0.0000, 0.8802], [0.0000, 0.5000, 0.1198], [0.0000, 0.5000, 0.3615], [0.0000, 0.0000, 0.0000], [0.5000, 0.5000, 0.0000], [0.5000, 0.0000, 0.6385], [0.5000, 0.5000, 0.5000], [0.0000, 0.5000, 0.7647], [0.5000, 0.0000, 0.2353]]}